(1)
{
  "formula": "Pm12HfGe7",
  "functional": "PBE",
  "state": "optimized geometry",
  "cell": [[7.345, 4.241, 3.356], [-7.345, 4.241, 3.356], [0.000, -8.482, 3.356]],
  "species": ["Pm", "Pm", "Pm", "Pm", "Pm", "Pm", "Pm", "Pm", "Pm", "Pm", "Pm", "Pm", "Hf", "Ge", "Ge", "Ge", "Ge", "Ge", "Ge", "Ge"],
  "fractional_positions": [[0.032, 0.349, 0.117], [0.117, 0.032, 0.349], [0.185, 0.727, 0.576], [0.273, 0.424, 0.815], [0.349, 0.117, 0.032], [0.424, 0.815, 0.273], [0.576, 0.185, 0.727], [0.651, 0.883, 0.968], [0.727, 0.576, 0.185], [0.815, 0.273, 0.424], [0.883, 0.968, 0.651], [0.968, 0.651, 0.883], [0.500, 0.500, 0.500], [0.000, 0.000, 0.000], [0.167, 0.386, 0.467], [0.386, 0.467, 0.167], [0.467, 0.167, 0.386], [0.533, 0.833, 0.614], [0.614, 0.533, 0.833], [0.833, 0.614, 0.533]]
}

=====

(2)
{
  "formula": "LiIn4Ag",
  "functional": "PBE",
  "state": "optimized geometry",
  "polymorph_energy_ev_per_atom": 0.0000,
  "cell": [[-3.479, 3.479, 5.771], [3.479, -3.479, 5.771], [3.479, 3.479, -5.771]],
  "species": ["Li", "Li", "In", "In", "In", "In", "In", "In", "In", "In", "Ag", "Ag"],
  "fractional_positions": [[0.000, 0.000, 0.000], [0.500, 0.500, 0.000], [0.022, 0.522, 0.812], [0.209, 0.022, 0.500], [0.291, 0.791, 0.812], [0.478, 0.291, 0.500], [0.522, 0.709, 0.500], [0.709, 0.209, 0.188], [0.791, 0.978, 0.500], [0.978, 0.478, 0.188], [0.250, 0.250, 0.000], [0.750, 0.750, 0.000]]
}

=====

(3)
{
  "formula": "ZrAgAu2",
  "functional": "PBE",
  "state": "optimized geometry",
  "polymorph_energy_ev_per_atom": 0.2202,
  "cell": [[9.660, 0.000, 0.000], [0.000, 3.029, 0.000], [-0.876, 0.000, 5.175]],
  "species": ["Zr", "Zr", "Ag", "Ag", "Au", "Au", "Au", "Au"],
  "fractional_positions": [[0.000, 0.000, 0.000], [0.500, 0.500, 0.000], [0.000, 0.500, 0.500], [0.500, 0.000, 0.500], [0.249, 0.500, 0.251], [0.251, 0.000, 0.749], [0.749, 0.000, 0.251], [0.751, 0.500, 0.749]]
}

=====

(4)
{
  "formula": "Li3MgSn2",
  "functional": "PBE",
  "state": "optimized geometry",
  "polymorph_energy_ev_per_atom": 0.0000,
  "cell": [[-2.746, 8.346, 2.797], [2.746, -8.346, 2.797], [2.746, 8.346, -2.797]],
  "species": ["Li", "Li", "Li", "Li", "Li", "Li", "Mg", "Mg", "Sn", "Sn", "Sn", "Sn"],
  "fractional_positions": [[0.196, 0.710, 0.905], [0.250, 0.250, 0.000], [0.304, 0.210, 0.514], [0.696, 0.790, 0.486], [0.750, 0.750, 0.000], [0.804, 0.290, 0.095], [0.250, 0.750, 0.500], [0.750, 0.250, 0.500], [0.131, 0.215, 0.346], [0.369, 0.715, 0.085], [0.631, 0.285, 0.915], [0.869, 0.785, 0.654]]
}

=====

Values for E_tot, eV for the cell shown, ordered as above
-107.81 -32.64 -37.30 -33.46
Values for energy relative to the elements, eV per formula unit, ordered as above
-8.5 -0.6 -0.7 -1.4
Values for theoretical density, g cm⁻³, ordered as above
6.42 6.82 13.00 3.66